Entry from Alexandria via LeMat-Bulk: a relaxed structure of Ti3MoO (GGA+U).

Output
Volume (Å³ per atom): 21.1
Relative energy among the computed polymorphs (eV/f.u.): 11.193

Cell lengths 4.722, 4.722, 4.722 Å; angles 90.00, 90.00, 90.00 degrees
Space group Pm-3m (No. 221)
One atom of each set of equivalent atoms:
Ti: 0.000 0.000 0.500 (multiplicity 3)
Mo: 0.000 0.000 0.000 (multiplicity 1)
O: 0.500 0.500 0.500 (multiplicity 1)